Density functional theory data (PBE+U) for a relaxed structure of PWO5.

Unit cell a=10.356 b=9.095 c=7.113 alpha=78.38 beta=59.34 gamma=42.28
Element x y z (fractional)
O (0.832, 0.832, 0.668)
O (0.687, 0.991, 0.350)
O (0.400, 0.640, 0.896)
O (0.278, 0.900, 0.259)
O (0.640, 0.400, 0.064)
O (0.259, 0.563, 0.278)
O (0.582, 0.582, 0.418)
O (0.610, 0.850, 0.186)
O (0.900, 0.278, 0.563)
O (0.972, 0.350, 0.991)
O (0.186, 0.354, 0.610)
O (0.563, 0.259, 0.900)
O (0.896, 0.064, 0.400)
O (0.668, 0.668, 0.832)
O (0.418, 0.418, 0.582)
O (0.064, 0.896, 0.640)
O (0.354, 0.186, 0.850)
O (0.991, 0.687, 0.972)
O (0.350, 0.972, 0.687)
O (0.850, 0.610, 0.354)
P (0.035, 0.035, 0.465)
P (0.465, 0.465, 0.035)
P (0.785, 0.785, 0.215)
P (0.215, 0.215, 0.785)
W (0.125, 0.625, 0.625)
W (0.625, 0.625, 0.625)
W (0.625, 0.125, 0.625)
W (0.625, 0.625, 0.125)

The value obtained for the size of the total moment is 0.143 μB/atom. Its space-group type is Fddd, No. 70. The excess energy over the best structure of this formula in the dataset is 0.51 eV/f.u.